Below is a relaxed structure of Cr2IrOs, with properties calculated at the PBEsol level.

Computed properties:
The value obtained for the formation energy is -0.119 eV/f.u. The calculation puts the total DFT energy (no corrections) at -42.6 eV/f.u. The value obtained for the magnetization is 0.00 μB per formula unit.

abc: 3.6448 3.7394 3.7394
angles: 90.00 90.00 90.00
With the nearest neighbours (Å) after each atom.
Atoms (fractional coordinates):
Ir: 0.5000 0.5000 0.5000  8 Cr 2.61, 4 Os 2.64
Os: 0.5000 0.0000 0.0000  8 Cr 2.61, 4 Ir 2.64
Cr: 0.0000 0.5000 0.0000  4 Os 2.61, 4 Ir 2.61, 4 Cr 2.64
Cr: 0.0000 0.0000 0.5000  4 Os 2.61, 4 Ir 2.61, 4 Cr 2.64